1.
This record from Alexandria via LeMat-Bulk describes a geometry-optimized BeZnSi3 structure. The functional is GGA-PBE.

Calculated values
Density of states at the Fermi level (states/eV/atom): 0.461
E_tot (eV per atom): -2.93
Energy relative to the elements, uncorrected (eV/atom): 1.3276

```
5
Lattice="4.620 0.000 0.000 0.000 4.620 0.000 0.000 0.000 4.620" Properties=species:S:1:pos:R:3 pbc="T T T"
Be 0.000 0.000 0.000
Zn 2.310 2.310 2.310
Si 0.000 2.310 2.310
Si 2.310 0.000 2.310
Si 2.310 2.310 0.000
```


2.
This record from Alexandria via LeMat-Bulk describes a geometry-optimized ZrZnFe structure. The functional is GGA-PBE.

Calculated values
Formation energy from the elements (meV/atom): -75
Density of states at the Fermi level (states/eV/atom): 1.146
E_tot (eV per atom): -6.17

```
3
Lattice="-1.651 1.651 4.388 1.651 -1.651 4.388 1.651 1.651 -4.388" Properties=species:S:1:pos:R:3 pbc="T T T"
Zr 0.000 0.000 0.000
Zn 0.000 0.000 2.731
Fe 0.000 0.000 5.819
```


3.
This record from Alexandria via LeMat-Bulk describes a geometry-optimized SmSn2Au4 structure. The functional is GGA-PBE.

Calculated values
Formation energy from the elements (meV/atom): -401
Density of states at the Fermi level (states/eV/atom): 0.464
E_tot (eV per atom): -4.09

```
7
Lattice="4.127 -2.356 0.000 4.127 2.356 0.000 -2.425 0.000 8.311" Properties=species:S:1:pos:R:3 pbc="T T T"
Sm 0.000 0.000 0.000
Sn 0.333 0.000 6.066
Sn 5.497 0.000 2.245
Au 0.014 0.000 3.297
Au 2.754 0.000 1.519
Au 3.076 0.000 6.792
Au 5.816 0.000 5.014
```


4.
This record from Alexandria via LeMat-Bulk describes a geometry-optimized Nd12Mn3N5 structure. The functional is GGA-PBE.

Calculated values
Density of states at the Fermi level (states/eV/atom): 1.069
E_tot (eV per atom): -6.73
Energy relative to the elements, uncorrected (eV/atom): -0.4077

```
80
Lattice="-8.006 8.006 8.006 8.006 -8.006 8.006 8.006 8.006 -8.006" Properties=species:S:1:pos:R:3 pbc="T T T"
Nd 2.377 -0.572 0.846
Nd 9.632 4.849 -4.575
Nd 10.383 0.572 0.846
Nd 9.632 -3.157 4.575
Nd 7.435 -0.846 2.377
Nd 12.581 -1.626 3.157
Nd 0.846 2.377 -0.572
Nd 11.163 3.431 -1.626
Nd 4.849 4.575 -1.626
Nd 7.160 2.377 0.572
Nd -0.572 0.846 2.377
Nd 4.575 -1.626 4.849
Nd 7.435 7.160 -2.377
Nd 4.575 1.626 3.157
Nd 4.849 -4.575 9.632
Nd 7.160 -2.377 7.435
Nd 3.157 4.575 1.626
Nd 8.852 5.629 0.572
Nd 4.575 9.632 -3.157
Nd 7.435 0.846 5.629
Nd 2.377 7.435 -0.846
Nd 9.632 3.157 3.431
Nd 1.626 3.157 4.575
Nd 2.377 0.572 7.160
Nd 5.629 7.435 0.846
Nd 6.380 4.849 3.431
Nd -1.626 4.849 4.575
Nd 5.629 0.572 8.852
Nd 0.572 7.160 2.377
Nd 3.431 -1.626 11.163
Nd -0.846 2.377 7.435
Nd 4.849 3.431 6.380
Nd 0.846 10.383 0.572
Nd 3.157 12.581 -1.626
Nd 3.431 6.380 4.849
Nd 0.572 0.846 10.383
Nd 3.431 9.632 3.157
Nd 8.578 7.160 5.629
Nd 0.846 5.629 7.435
Nd 3.157 3.431 9.632
Nd -3.157 4.575 9.632
Nd 7.160 5.629 8.578
Nd -4.575 9.632 4.849
Nd 0.572 8.852 5.629
Nd -1.626 11.163 3.431
Nd -2.377 7.435 7.160
Nd -1.626 3.157 12.581
Nd 5.629 8.578 7.160
Mn 4.003 2.002 0.000
Mn 8.006 4.003 -2.002
Mn 2.002 0.000 4.003
Mn 10.008 0.000 4.003
Mn 0.000 4.003 2.002
Mn 4.003 -2.002 8.006
Mn 4.003 10.008 0.000
Mn 8.006 4.003 6.005
Mn -2.002 8.006 4.003
Mn 6.005 8.006 4.003
Mn 0.000 4.003 10.008
Mn 4.003 6.005 8.006
N 0.000 0.000 0.000
N 4.003 4.003 -4.003
N 4.003 -4.003 4.003
N 8.006 0.000 0.000
N 12.009 2.002 0.000
N 8.006 -4.003 6.005
N 6.005 8.006 -4.003
N 6.005 0.000 4.003
N 4.003 6.005 0.000
N 8.006 4.003 2.002
N -4.003 4.003 4.003
N 0.000 8.006 0.000
N 0.000 0.000 8.006
N 4.003 4.003 4.003
N 0.000 4.003 6.005
N 4.003 2.002 8.006
N 2.002 8.006 4.003
N 2.002 0.000 12.009
N 0.000 12.009 2.002
N -4.003 6.005 8.006
```


5.
This record from Alexandria via LeMat-Bulk describes a geometry-optimized MnZn2Pd5 structure. The functional is GGA-PBE.

Calculated values
Formation energy from the elements (meV/atom): -407
Density of states at the Fermi level (states/eV/atom): 0.262
E_tot (eV per atom): -5.12

```
8
Lattice="-2.044 2.044 7.098 2.044 -2.044 7.098 2.044 2.044 -7.098" Properties=species:S:1:pos:R:3 pbc="T T T"
Mn 0.000 0.000 0.000
Zn 0.000 0.000 3.551
Zn 0.000 0.000 10.644
Pd 2.044 0.000 1.889
Pd 2.044 0.000 5.209
Pd 0.000 0.000 7.098
Pd 0.000 2.044 1.889
Pd 0.000 2.044 5.209
```


6.
This record from Alexandria via LeMat-Bulk describes a geometry-optimized SmMgS2 structure. The functional is GGA-PBE.

Calculated values
Density of states at the Fermi level (states/eV/atom): 0.322
E_tot (eV per atom): -5.27
Energy relative to the elements, uncorrected (eV/atom): -1.6258

```
4
Lattice="1.895 1.094 6.565 -1.895 1.094 6.565 0.000 -2.188 6.565" Properties=species:S:1:pos:R:3 pbc="T T T"
Sm 0.000 0.000 0.000
Mg 0.000 0.000 9.848
S 0.000 0.000 4.737
S 0.000 0.000 14.959
```


7.
This record from Alexandria via LeMat-Bulk describes a geometry-optimized Ba3Pa3TiN8 structure. The functional is GGA-PBE.

Calculated values
Density of states at the Fermi level (states/eV/atom): 0.224
E_tot (eV per atom): -8.48
Energy relative to the elements, uncorrected (eV/atom): -1.2274

```
15
Lattice="3.500 2.021 6.439 -3.500 2.021 6.439 0.000 -4.042 6.439" Properties=species:S:1:pos:R:3 pbc="T T T"
Ba -1.750 -1.010 6.439
Ba -1.750 1.010 12.878
Ba 0.000 2.021 6.439
Pa -3.500 0.000 9.658
Pa -1.750 1.010 3.219
Pa 1.750 1.010 3.219
Ti 0.000 0.000 9.658
N 0.000 0.000 4.393
N -1.684 -0.972 10.709
N 0.000 -1.945 8.608
N -1.684 0.972 8.608
N 1.684 -0.972 10.709
N 0.000 1.945 10.709
N 1.684 0.972 8.608
N 0.000 0.000 14.924
```


8.
This record from Alexandria via LeMat-Bulk describes a geometry-optimized SrLiCoGe2 structure. The functional is GGA-PBE.

Calculated values
Formation energy from the elements (meV/atom): -270
Density of states at the Fermi level (states/eV/atom): 0.658
E_tot (eV per atom): -4.26

```
5
Lattice="4.575 0.000 0.000 0.000 4.575 0.000 0.000 0.000 4.748" Properties=species:S:1:pos:R:3 pbc="T T T"
Sr 0.000 0.000 0.000
Li 2.288 2.288 0.000
Co 2.288 2.288 2.374
Ge 0.000 2.288 2.374
Ge 2.288 0.000 2.374
```


9.
This record from Alexandria via LeMat-Bulk describes a geometry-optimized IrSeI2N structure. The functional is GGA-PBE.

Calculated values
Density of states at the Fermi level (states/eV/atom): 0.915
E_tot (eV per atom): -3.15
Energy relative to the elements, uncorrected (eV/atom): 1.6083

```
5
Lattice="5.756 0.000 0.000 0.000 5.756 0.000 0.000 0.000 3.593" Properties=species:S:1:pos:R:3 pbc="T T T"
Ir 0.000 0.000 0.000
Se 2.878 2.878 1.796
I 0.000 2.878 1.796
I 2.878 0.000 1.796
N 2.878 2.878 0.000
```


10.
This record from Alexandria via LeMat-Bulk describes a geometry-optimized Pm6Sm2DyTm structure. The functional is GGA-PBE.

Calculated values
Formation energy from the elements (meV/atom): 115
Density of states at the Fermi level (states/eV/atom): 1.374
E_tot (eV per atom): -4.59

```
20
Lattice="4.597 -7.663 0.000 4.597 7.663 0.000 -1.333 0.000 9.614" Properties=species:S:1:pos:R:3 pbc="T T T"
Pm 2.433 4.265 1.819
Pm 3.304 4.859 5.333
Pm 3.890 4.859 9.087
Pm 3.143 1.634 3.667
Pm 6.094 4.265 2.988
Pm 5.384 1.634 1.140
Pm 2.476 -1.634 8.474
Pm 1.766 -4.265 6.625
Pm 4.718 -1.634 5.947
Pm 3.971 -4.859 0.526
Pm 4.556 -4.859 4.280
Pm 5.428 -4.265 7.795
Sm 2.234 0.777 0.419
Sm 1.568 -0.777 5.225
Sm 6.293 0.777 4.388
Sm 5.626 -0.777 9.195
Dy 4.264 7.314 2.403
Dy 3.597 -7.314 7.210
Tm 3.597 1.384 7.210
Tm 4.264 -1.384 2.403
```


11.
This record from Alexandria via LeMat-Bulk describes a geometry-optimized MnVCu structure. The functional is GGA-PBE.

Calculated values
Formation energy from the elements (meV/atom): 641
Density of states at the Fermi level (states/eV/atom): 1.208
E_tot (eV per atom): -6.82

```
3
Lattice="-1.208 1.208 6.749 1.208 -1.208 6.749 1.208 1.208 -6.749" Properties=species:S:1:pos:R:3 pbc="T T T"
Mn 0.000 0.000 0.000
V 0.000 0.000 2.258
Cu 0.000 0.000 4.769
```


12.
This record from Alexandria via LeMat-Bulk describes a geometry-optimized Zr2TiSnMo structure. The functional is GGA-PBE.

Calculated values
Formation energy from the elements (meV/atom): 1442
Density of states at the Fermi level (states/eV/atom): 1.167
E_tot (eV per atom): -6.52

```
5
Lattice="5.215 0.000 0.000 0.000 5.215 0.000 0.000 0.000 4.843" Properties=species:S:1:pos:R:3 pbc="T T T"
Zr 0.000 2.607 0.000
Zr 2.607 0.000 0.000
Ti 0.000 0.000 2.421
Sn 0.000 0.000 0.000
Mo 2.607 2.607 2.421
```